# 1
Compound: SiO
Source: Alexandria
Functional: PBE
Structure: relaxed

The structure belongs to space group I-43m (No. 217); the cell edges are 8.574, 8.574 and 8.574 Å and the angles 90.00°, 90.00° and 90.00°. The inequivalent atoms are Si at (0.114, 0.114, 0.886) and O at (0.102, 0.102, 0.102).

The value obtained for the uncorrected formation energy is -1.1138 eV per atom. For the magnetization, the calculation gives 0.031 μB per formula unit.


# 2
Compound: CaInBr
Source: Alexandria
Functional: PBE
Structure: relaxed

The structure belongs to space group R-3m (No. 166, hexagonal axes); the cell edges are 4.6223, 4.6223 and 32.4262 Å and the angles 90.00°, 90.00° and 120.00°. The inequivalent atoms are Ca at (0.0000, 0.0000, 0.0749), In at (0.0000, 0.0000, 0.3437) and Br at (0.0000, 0.0000, 0.2158).

The value obtained for the uncorrected formation energy is -1.0790 eV per atom. For the magnetization, the calculation gives 0.000 μB per formula unit. The value obtained for the energy above the lowest structure with this stoichiometry is 0.000 eV per atom.


# 3
Compound: Sc3VPd12
Source: Alexandria
Functional: PBE
Structure: relaxed

The structure belongs to space group P4/mmm (No. 123); the cell edges are 3.978, 3.978 and 15.886 Å and the angles 90.00°, 90.00° and 90.00°. The inequivalent atoms are Sc at (0.000, 0.000, 0.000), Sc at (0.000, 0.000, 0.251), V at (0.000, 0.000, 0.500), Pd at (0.000, 0.500, 0.128), Pd at (0.000, 0.500, 0.383), Pd at (0.500, 0.500, 0.000), Pd at (0.500, 0.500, 0.256) and Pd at (0.500, 0.500, 0.500).

For the magnetization, the calculation gives 0.000 μB per formula unit. As for the formation energy: -0.700 eV per atom.


# 4
Compound: LaIn2AgRu
Source: Alexandria
Functional: PBE
Structure: relaxed

The structure belongs to space group P4/mmm (No. 123); the cell edges are 5.059, 5.059 and 5.707 Å and the angles 90.00°, 90.00° and 90.00°. The inequivalent atoms are La at (0.000, 0.000, 0.000), In at (0.000, 0.500, 0.500), Ag at (0.000, 0.000, 0.500) and Ru at (0.500, 0.500, 0.000).

For the magnetization, the calculation gives 1.520 μB per formula unit. As for the formation energy: 0.748 eV per atom.


# 5
Compound: Ce5ErGe4
Source: Alexandria
Functional: PBE
Structure: relaxed

The structure belongs to space group C2/m (No. 12); the cell edges are 16.865, 4.538 and 7.503 Å and the angles 90.00°, 107.12° and 90.00°. The inequivalent atoms are Ce at (0.000, 0.000, 0.000), Ce at (0.149, 0.500, 0.974), Ce at (0.196, 0.500, 0.503), Er at (0.000, 0.000, 0.500), Ge at (0.029, 0.500, 0.265) and Ge at (0.179, 0.000, 0.745).

For the magnetization, the calculation gives 5.307 μB per formula unit. As for the formation energy: -0.477 eV per atom.


# 6
Compound: LiTlRu2
Source: Alexandria
Functional: PBE
Structure: relaxed

The structure belongs to space group I-4m2 (No. 119); the cell edges are 4.460, 4.460 and 6.255 Å and the angles 90.00°, 90.00° and 90.00°. The inequivalent atoms are Li at (0.000, 0.000, 0.000), Tl at (0.000, 0.500, 0.250), Ru at (0.000, 0.000, 0.500) and Ru at (0.000, 0.500, 0.750).

For the magnetization, the calculation gives 0.003 μB per formula unit. As for the formation energy: 0.315 eV per atom. The value obtained for the energy above the lowest structure with this stoichiometry is 0.084 eV per atom.


# 7
Compound: Dy2GaPPt6
Source: Alexandria
Functional: PBE
Structure: relaxed

The structure belongs to space group Pmmn (No. 59, origin choice 2); the cell edges are 5.550, 8.552 and 8.152 Å and the angles 90.00°, 90.00° and 90.00°. The inequivalent atoms are Dy at (0.250, 0.015, 0.232), Ga at (0.250, 0.750, 0.783), P at (0.250, 0.250, 0.741), Pt at (0.001, 0.250, 0.483), Pt at (0.002, 0.750, 0.035) and Pt at (0.250, 0.004, 0.619).

For the magnetization, the calculation gives 0.000 μB per formula unit. As for the formation energy: -0.903 eV per atom.


# 8
Compound: Na4Tl3Sb2
Source: Alexandria
Functional: PBE
Structure: relaxed

The structure belongs to space group C2/m (No. 12); the cell edges are 9.110, 5.540 and 10.329 Å and the angles 90.00°, 97.43° and 90.00°. The inequivalent atoms are Na at (0.014, 0.000, 0.317), Na at (0.175, 0.500, 0.118), Tl at (0.000, 0.000, 0.000), Tl at (0.168, 0.500, 0.461) and Sb at (0.148, 0.500, 0.789).

The value obtained for the uncorrected formation energy is -0.2278 eV per atom. For the magnetization, the calculation gives 0.000 μB per formula unit.